(1)
Density functional theory data (GGA-PBE) for an optimized crystal structure of Rb3CaTm2Se6.

Computed properties:
As for the energy: -4.48 eV/atom. The space group is No. 12.

Unit cell a=7.331 b=7.331 c=8.388 alpha=98.38 beta=98.38 gamma=120.01
Atoms (fractional coordinates):
Rb: 0.163 0.837 0.500
Rb: 0.837 0.163 0.500
Rb: 0.500 0.500 0.500
Ca: 0.000 0.000 0.000
Tm: 0.333 0.667 0.000
Tm: 0.667 0.333 0.000
Se: 0.935 0.588 0.804
Se: 0.719 0.719 0.195
Se: 0.065 0.412 0.196
Se: 0.588 0.935 0.804
Se: 0.281 0.281 0.805
Se: 0.412 0.065 0.196



(2)
Density functional theory data (GGA-PBE) for an optimized crystal structure of Rb3Ca3USe8.

Computed properties:
As for the energy: -4.61 eV/atom. The space group is No. 166.

Unit cell a=8.567 b=8.571 c=9.519 alpha=116.78 beta=90.00 gamma=119.99
Atoms (fractional coordinates):
Rb: 0.000 0.000 0.000
Rb: 0.000 0.500 0.000
Rb: 0.500 0.500 0.000
Ca: 0.500 0.000 0.500
Ca: 0.500 0.500 0.500
Ca: 0.000 0.500 0.500
U: 0.000 0.000 0.500
Se: 0.268 0.536 0.303
Se: 0.732 0.464 0.697
Se: 0.786 0.572 0.312
Se: 0.214 0.428 0.688
Se: 0.786 0.026 0.312
Se: 0.214 0.974 0.688
Se: 0.240 0.026 0.312
Se: 0.760 0.974 0.688



(3)
Density functional theory data (GGA-PBE) for an optimized crystal structure of Rb3Ca2USe6.

Computed properties:
As for the energy: -4.78 eV/atom. The space group is No. 12.

Unit cell a=7.462 b=7.462 c=8.330 alpha=98.59 beta=98.59 gamma=119.97
Last column: magnetic moment on the atom in μB.
Atoms (fractional coordinates):
Rb: 0.172 0.828 0.500  0.00
Rb: 0.828 0.172 0.500  0.00
Rb: 0.500 0.500 0.500  0.00
Ca: 0.334 0.666 0.000  0.00
Ca: 0.666 0.334 0.000  0.00
U: 0.000 0.000 0.000  1.31
Se: 0.935 0.623 0.805  -0.04
Se: 0.755 0.755 0.196  -0.04
Se: 0.065 0.377 0.195  -0.04
Se: 0.623 0.935 0.805  -0.04
Se: 0.245 0.245 0.804  -0.04
Se: 0.377 0.065 0.195  -0.04



Record-wise ΔE_f (raw) values, in eV per atom: -1.58; -1.41; -1.52